# La7PmDy4 | Alexandria | PBE-GGA | optimized geometry
data_La7PmDy4
_cell_length_a 7.375
_cell_length_b 9.787
_cell_length_c 9.111
_cell_angle_alpha 81.17
_cell_angle_beta 89.98
_cell_angle_gamma 41.12
_space_group_name_H-M_alt 'P 1'
_space_group_IT_number 1
_space_group_name_Hall 'P 1'
loop_
_atom_site_label
_atom_site_type_symbol
_atom_site_fract_x
_atom_site_fract_y
_atom_site_fract_z
_atom_site_occupancy
La1 La 0.221 0.779 0.667 1
La2 La 0.032 0.718 0.337 1
Dy1 Dy 0.533 0.723 0.332 1
Dy2 Dy 0.282 0.218 0.335 1
La3 La 0.500 0.000 0.000 1
La4 La 0.243 0.502 0.997 1
La5 La 0.779 0.221 0.333 1
Dy3 Dy 0.718 0.782 0.665 1
Pm1 Pm 0.000 0.000 0.000 1
La6 La 0.968 0.282 0.663 1
La7 La 0.757 0.498 0.003 1
Dy4 Dy 0.467 0.277 0.668 1
# energy of formation from the pure elements = 16 meV per atom
# symmetry = P-1, No. 2
# distance to the lowest polymorph of the same formula = 0.000 eV/atom